A plane-wave DFT calculation with PBE was carried out for In2PdF after structural relaxation.

The structure in POSCAR format:
```
In2PdF
1.0
-2.462 -4.090 -3.231
3.398 -3.969 2.435
-3.765 -4.955 4.000
In F Pd
4 2 2
Direct
0.375 0.394 0.750
0.144 0.625 0.250
0.875 0.856 0.750
0.606 0.125 0.250
0.250 0.750 0.500
0.500 0.500 0.000
0.000 0.000 0.000
0.750 0.250 0.500
```

Output
E_form (uncorrected)	-733.0	meV per atom
calculated volume	25.64	Å³/atom
raw total energy	-3.8683	eV per atom